Record 1
Density functional theory data (PBE) for crystalline Th3I4Br2 at its relaxed geometry.

The energy relative to the lowest polymorph listed for this composition comes out at 0.00 eV per formula unit. The crystal system is trigonal. The calculation puts the uncorrected formation energy at -1.1546 eV/atom. The density of states at the Fermi level comes out at 1.5 states/eV per cell.

The space group is P3m1 (No. 156) and the conventional cell measures 3.9549, 3.9549 and 25.9577 Å, with angles of 90.00, 90.00 and 120.00 degrees. The asymmetric unit holds Th at (0.0000, 0.0000, 0.0000), Th at (0.0000, 0.0000, 0.3420), Th at (0.6667, 0.3333, 0.6776), I at (0.0000, 0.0000, 0.5899), I at (0.0000, 0.0000, 0.7654), I at (0.6667, 0.3333, 0.2542), I at (0.6667, 0.3333, 0.4298), Br at (0.6667, 0.3333, 0.0778) and Br at (0.6667, 0.3333, 0.9222).

***

Record 2
Density functional theory data (PBE) for crystalline NaSrTlCd at its relaxed geometry.

The crystal system is cubic. As for the energy of formation: -0.842 eV per formula unit. The density of states at the Fermi level comes out at 9.9 states/eV per cell.

The space group is F-43m (No. 216) and the conventional cell measures 7.874, 7.874 and 7.874 Å, with angles of 90.00, 90.00 and 90.00 degrees. The asymmetric unit holds Na at (0.000, 0.000, 0.000), Sr at (0.000, 0.000, 0.500), Tl at (0.250, 0.250, 0.250) and Cd at (0.250, 0.250, 0.750).

***

Record 3
Density functional theory data (PBE) for crystalline BaNi3 at its relaxed geometry.

The crystal system is orthorhombic. As for the energy of formation: 0.708 eV per formula unit. The density of states at the Fermi level comes out at 21.3 states/eV per cell.

The space group is Pnma (No. 62) and the conventional cell measures 7.405, 6.520 and 6.117 Å, with angles of 90.00, 90.00 and 90.00 degrees. The asymmetric unit holds Ba at (0.020, 0.250, 0.123), Ni at (0.136, 0.070, 0.578) and Ni at (0.148, 0.750, 0.343).

***

Record 4
Density functional theory data (PBE) for crystalline KCa2Os at its relaxed geometry.

The energy relative to the lowest polymorph listed for this composition comes out at 1.04 eV per formula unit. The crystal system is monoclinic. As for the energy of formation: 2.687 eV per formula unit. The density of states at the Fermi level comes out at 3.7 states/eV per cell.

The space group is Pm (No. 6) and the conventional cell measures 3.350, 4.747 and 9.218 Å, with angles of 90.00, 90.10 and 90.00 degrees. The asymmetric unit holds K at (0.000, 0.000, 0.000), Ca at (0.493, 0.500, 0.377), Ca at (0.494, 0.000, 0.636) and Os at (0.994, 0.500, 0.637).

***

Record 5
Density functional theory data (PBE) for crystalline Sr2MnSe at its relaxed geometry.

The crystal system is orthorhombic. The calculation puts the uncorrected formation energy at -0.3926 eV/atom. The density of states at the Fermi level comes out at 4.0 states/eV per cell.

The space group is Pmm2 (No. 25) and the conventional cell measures 3.944, 5.441 and 5.443 Å, with angles of 90.00, 90.00 and 90.00 degrees. The asymmetric unit holds Sr at (0.000, 0.000, 0.000), Sr at (0.000, 0.500, 0.497), Mn at (0.500, 0.000, 0.501) and Se at (0.500, 0.500, 0.995).

***

Record 6
Density functional theory data (PBE) for crystalline LaDyY2 at its relaxed geometry.

The energy relative to the lowest polymorph listed for this composition comes out at 0.07 eV per formula unit. The crystal system is orthorhombic. As for the energy of formation: 0.101 eV per formula unit. The density of states at the Fermi level comes out at 5.8 states/eV per cell.

The space group is Pmmm (No. 47) and the conventional cell measures 3.628, 5.063 and 7.233 Å, with angles of 90.00, 90.00 and 90.00 degrees. The asymmetric unit holds La at (0.000, 0.000, 0.000), Dy at (0.000, 0.000, 0.500) and Y at (0.500, 0.500, 0.256).

***

Record 7
Density functional theory data (PBE) for crystalline LiAl2O2 at its relaxed geometry.

The energy relative to the lowest polymorph listed for this composition comes out at 1.52 eV per formula unit. The crystal system is tetragonal. The calculation puts the uncorrected formation energy at -1.3016 eV/atom. The density of states at the Fermi level comes out at 2.5 states/eV per cell.

The space group is P4/mbm (No. 127) and the conventional cell measures 7.903, 7.903 and 2.980 Å, with angles of 90.00, 90.00 and 90.00 degrees. The asymmetric unit holds Li at (0.000, 0.000, 0.000), Al at (0.116, 0.384, 0.000) and O at (0.199, 0.301, 0.500).

***

Record 8
Density functional theory data (PBE) for crystalline PmPr2Dy3Sb6 at its relaxed geometry.

The crystal system is monoclinic. The calculation puts the uncorrected formation energy at -1.1578 eV/atom. The density of states at the Fermi level comes out at 3.9 states/eV per cell.

The space group is C2/m (No. 12) and the conventional cell measures 19.433, 4.463 and 8.916 Å, with angles of 90.00, 103.15 and 90.00 degrees. The asymmetric unit holds Pm at (0.000, 0.000, 0.000), Pr at (0.166, 0.500, 0.333), Dy at (0.000, 0.000, 0.500), Dy at (0.167, 0.500, 0.833), Sb at (0.003, 0.500, 0.747), Sb at (0.164, 0.000, 0.589) and Sb at (0.168, 0.000, 0.076).